Density functional theory data (PBE) for a relaxed Ba2SbMo crystal.

The space group is P4mm (No. 99) and the conventional cell measures 3.7813, 3.7813 and 9.8177 Å, with angles of 90.00, 90.00 and 90.00 degrees. Symmetry generates all atoms from Ba at (0.0000, 0.0000, 0.0000), Ba at (0.5000, 0.5000, 0.4250), Sb at (0.5000, 0.5000, 0.7693) and Mo at (0.0000, 0.0000, 0.6682).

For the uncorrected formation energy, the calculation gives 0.1663 eV/atom.


Density functional theory data (PBE) for a relaxed BaSb2Mo crystal.

The space group is Fm-3m (No. 225) and the conventional cell measures 7.4977, 7.4977 and 7.4977 Å, with angles of 90.00, 90.00 and 90.00 degrees. Symmetry generates all atoms from Ba at (0.0000, 0.0000, 0.0000), Sb at (0.2500, 0.2500, 0.2500) and Mo at (0.0000, 0.0000, 0.5000).

For the uncorrected formation energy, the calculation gives 0.2484 eV/atom. Its energy above the lowest structure with this stoichiometry is 9.96 kcal/mol of atoms.


Density functional theory data (PBE) for a relaxed Ba2SbMo crystal.

The space group is I-42d (No. 122) and the conventional cell measures 11.8719, 11.8719 and 5.2613 Å, with angles of 90.00, 90.00 and 90.00 degrees. Symmetry generates all atoms from Ba at (0.0585, 0.2500, 0.1250), Sb at (0.0000, 0.0000, 0.5000) and Mo at (0.0000, 0.0000, 0.0000).

For the uncorrected formation energy, the calculation gives 0.3441 eV/atom.


Density functional theory data (PBE) for a relaxed BaSbMo3 crystal.

The space group is Pm-3m (No. 221) and the conventional cell measures 5.1002, 5.1002 and 5.1002 Å, with angles of 90.00, 90.00 and 90.00 degrees. Symmetry generates all atoms from Ba at (0.0000, 0.0000, 0.0000), Sb at (0.5000, 0.5000, 0.5000) and Mo at (0.0000, 0.5000, 0.5000).

For the uncorrected formation energy, the calculation gives 1.6295 eV/atom. Its energy above the lowest structure with this stoichiometry is 0.00 kcal/mol of atoms.


Density functional theory data (PBE) for a relaxed BaSbMo2 crystal.

The space group is R-3m (No. 166, hexagonal axes) and the conventional cell measures 3.2660, 3.2660 and 29.5603 Å, with angles of 90.00, 90.00 and 120.00 degrees. Symmetry generates all atoms from Ba at (0.0000, 0.0000, 0.0000), Sb at (0.0000, 0.0000, 0.5000) and Mo at (0.0000, 0.0000, 0.2354).

For the uncorrected formation energy, the calculation gives 1.0088 eV/atom.


Density functional theory data (PBE) for a relaxed Ba2SbMo crystal.

The space group is Cmmm (No. 65) and the conventional cell measures 7.7045, 7.7332 and 4.7697 Å, with angles of 90.00, 90.00 and 90.00 degrees. Symmetry generates all atoms from Ba at (0.2500, 0.2500, 0.0000), Sb at (0.0000, 0.0000, 0.5000) and Mo at (0.0000, 0.5000, 0.5000).

For the uncorrected formation energy, the calculation gives 0.3498 eV/atom.


Density functional theory data (PBE) for a relaxed Ba3SbMo crystal.

The space group is Pm-3m (No. 221) and the conventional cell measures 5.7872, 5.7872 and 5.7872 Å, with angles of 90.00, 90.00 and 90.00 degrees. Symmetry generates all atoms from Ba at (0.0000, 0.0000, 0.5000), Sb at (0.5000, 0.5000, 0.5000) and Mo at (0.0000, 0.0000, 0.0000).

For the uncorrected formation energy, the calculation gives 0.3565 eV/atom. Its energy above the lowest structure with this stoichiometry is 0.00 kcal/mol of atoms.


Density functional theory data (PBE) for a relaxed BaSb2Mo crystal.

The space group is Imm2 (No. 44) and the conventional cell measures 3.5818, 3.9357 and 16.2692 Å, with angles of 90.00, 90.00 and 90.00 degrees. Symmetry generates all atoms from Ba at (0.0000, 0.0000, 0.0000), Sb at (0.0000, 0.0000, 0.3643), Sb at (0.0000, 0.5000, 0.1762) and Mo at (0.0000, 0.5000, 0.7408).

For the uncorrected formation energy, the calculation gives -0.0820 eV/atom. Its energy above the lowest structure with this stoichiometry is 2.34 kcal/mol of atoms.